1.
The following is a DFT calculation (PBE) of a geometry-optimized InGaHg14 structure.

Results
ΔE_f in eV per atom: 0.02

Structure (CIF):
```
data_InGaHg14
_chemical_formula_sum 'In2 Ga2 Hg28'
_symmetry_space_group_name_H-M 'A m m 2'
_symmetry_Int_Tables_number 38
_cell_length_a 10.8176
_cell_length_b 6.9011
_cell_length_c 11.4967
_cell_angle_alpha 90.00
_cell_angle_beta 90.00
_cell_angle_gamma 90.00
loop_
_symmetry_equiv_pos_as_xyz
'x,y,z'
'-x,-y,z'
'-x,y,z'
'x,-y,z'
'x,y+1/2,z+1/2'
'-x,-y+1/2,z+1/2'
'-x,y+1/2,z+1/2'
'x,-y+1/2,z+1/2'
loop_
_atom_site_label
_atom_site_type_symbol
_atom_site_fract_x
_atom_site_fract_y
_atom_site_fract_z
In1 In 0.0000 0.0000 0.0000
Ga1 Ga 0.0000 0.0000 0.4964
Hg1 Hg 0.0000 0.2457 0.7527
Hg2 Hg 0.2443 0.0000 0.3471
Hg3 Hg 0.2495 0.2484 0.5958
Hg4 Hg 0.2561 0.0000 0.8453
Hg5 Hg 0.5000 0.0000 0.0319
Hg6 Hg 0.5000 0.0000 0.5334
Hg7 Hg 0.5000 0.2441 0.2827
```



2.
The following is a DFT calculation (PBE) of a geometry-optimized Li2RePt structure.

Results
Excess energy over the best structure of this formula in the dataset in eV per formula unit: 0.29
ΔE_f in eV per atom: -0.06

Structure (CIF):
```
data_Li2RePt
_chemical_formula_sum 'Li2 Re1 Pt1'
_symmetry_space_group_name_H-M 'P 1 2/m 1'
_symmetry_Int_Tables_number 10
_cell_length_a 2.6486
_cell_length_b 4.5925
_cell_length_c 4.7214
_cell_angle_alpha 90.00
_cell_angle_beta 92.06
_cell_angle_gamma 90.00
loop_
_symmetry_equiv_pos_as_xyz
'x,y,z'
'-x,-y,-z'
'-x,y,-z'
'x,-y,z'
loop_
_atom_site_label
_atom_site_type_symbol
_atom_site_fract_x
_atom_site_fract_y
_atom_site_fract_z
Li1 Li 0.1932 0.0000 0.2458
Re1 Re 0.5000 0.5000 0.0000
Pt1 Pt 0.0000 0.5000 0.5000
```



3.
The following is a DFT calculation (PBE) of a geometry-optimized Re2AgSb structure.

Results
Energy relative to the elements, uncorrected in eV per atom: 0.47

Structure (CIF):
```
data_Re2AgSb
_chemical_formula_sum 'Re6 Ag3 Sb3'
_symmetry_space_group_name_H-M 'R 3 m'
_symmetry_Int_Tables_number 160
_symmetry_space_group_name_Hall 'R 3 -2"'
_cell_length_a 2.9420
_cell_length_b 2.9420
_cell_length_c 28.8510
_cell_angle_alpha 90.00
_cell_angle_beta 90.00
_cell_angle_gamma 120.00
loop_
_atom_site_label
_atom_site_type_symbol
_atom_site_fract_x
_atom_site_fract_y
_atom_site_fract_z
Re1 Re 0.0000 0.0000 0.0000
Re2 Re 0.0000 0.0000 0.2635
Ag1 Ag 0.0000 0.0000 0.7506
Sb1 Sb 0.0000 0.0000 0.5147
```



4.
The following is a DFT calculation (PBE) of a geometry-optimized Sr3RhO4 structure.

Results
Energy relative to the elements, uncorrected in eV per atom: -2.01

Structure (CIF):
```
data_Sr3RhO4
_chemical_formula_sum 'Sr6 Rh2 O8'
_symmetry_space_group_name_H-M 'P m n 21'
_symmetry_Int_Tables_number 31
_cell_length_a 9.7546
_cell_length_b 5.0865
_cell_length_c 5.0910
_cell_angle_alpha 90.00
_cell_angle_beta 90.00
_cell_angle_gamma 90.00
loop_
_symmetry_equiv_pos_as_xyz
'x,y,z'
'-x+1/2,-y,z+1/2'
'-x,y,z'
'x+1/2,-y,z+1/2'
loop_
_atom_site_label
_atom_site_type_symbol
_atom_site_fract_x
_atom_site_fract_y
_atom_site_fract_z
Sr1 Sr 0.0000 0.2423 0.0000
Sr2 Sr 0.2499 0.2520 0.5057
Rh1 Rh 0.0000 0.7613 0.5155
O1 O 0.0000 0.2057 0.4956
O2 O 0.0000 0.7399 0.9585
O3 O 0.2296 0.7521 0.5062
```



no.,total magnetic moment (μB per cell),Fermi-level density of states (states/eV per cell)
1,0.00,5.015
2,0.09,2.872
3,0.00,9.704
4,0.42,2.754